[1]
# Mn3NbRh (GGA-PBE, optimized geometry)
data_Mn3NbRh
_space_group_name_H-M_alt 'P m -3 m'
_space_group_IT_number 221
_space_group_name_Hall '-P 4 2 3'
_cell_length_a 4.673
_cell_length_b 4.673
_cell_length_c 4.673
_cell_angle_alpha 90.00
_cell_angle_beta 90.00
_cell_angle_gamma 90.00
loop_
_atom_site_label
_atom_site_fract_x
_atom_site_fract_y
_atom_site_fract_z
_atom_site_occupancy
Mn1 0.000 0.000 0.500 1
Nb1 0.500 0.500 0.500 1
Rh1 0.000 0.000 0.000 1
# E_form = 1.12 eV/atom
# Electronic total energy = -39.3 eV per cell
# Energy above the most stable polymorph in this dataset = 0.000 eV per atom
# D(E_F) = 5.1 states/eV per cell

=====

[2]
# KCaTl2Si (GGA-PBE, optimized geometry)
data_KCaTl2Si
_space_group_name_H-M_alt 'P 4/m m m'
_space_group_IT_number 123
_space_group_name_Hall '-P 4 2'
_cell_length_a 5.821
_cell_length_b 5.821
_cell_length_c 5.690
_cell_angle_alpha 90.00
_cell_angle_beta 90.00
_cell_angle_gamma 90.00
loop_
_atom_site_label
_atom_site_fract_x
_atom_site_fract_y
_atom_site_fract_z
_atom_site_occupancy
K1 0.000 0.000 0.000 1
Ca1 0.500 0.500 0.500 1
Tl1 0.000 0.500 0.000 1
Si1 0.000 0.000 0.500 1
# Electronic total energy = -9.5 eV per cell
# ΔE_f (raw) = 759 meV per atom
# D(E_F) = 4.4 states/eV per cell

=====

[3]
# AgIF (GGA-PBE, optimized geometry)
data_AgIF
_space_group_name_H-M_alt 'R -3 m'
_space_group_IT_number 166
_space_group_name_Hall '-R 3 2"'
_cell_length_a 4.7058
_cell_length_b 4.7058
_cell_length_c 22.6108
_cell_angle_alpha 90.00
_cell_angle_beta 90.00
_cell_angle_gamma 120.00
loop_
_atom_site_label
_atom_site_fract_x
_atom_site_fract_y
_atom_site_fract_z
_atom_site_occupancy
Ag1 0.0000 0.0000 0.1249 1
I1 0.0000 0.0000 0.2528 1
F1 0.0000 0.0000 0.3478 1
# Electronic total energy = -45.4 eV per cell
# ΔE_f (raw) = -432 meV per atom
# Energy above the most stable polymorph in this dataset = 0.207 eV per atom
# D(E_F) = 1.7 states/eV per cell

=====

[4]
# NaHoGa2I6 (GGA-PBE, optimized geometry)
data_NaHoGa2I6
_space_group_name_H-M_alt 'R 3'
_space_group_IT_number 146
_space_group_name_Hall 'R 3'
_cell_length_a 8.1413
_cell_length_b 8.1413
_cell_length_c 21.6568
_cell_angle_alpha 90.00
_cell_angle_beta 90.00
_cell_angle_gamma 120.00
loop_
_atom_site_label
_atom_site_fract_x
_atom_site_fract_y
_atom_site_fract_z
_atom_site_occupancy
Na1 0.0000 0.0000 0.0000 1
Ho1 0.0000 0.0000 0.4935 1
Ga1 0.0000 0.0000 0.3046 1
Ga2 0.0000 0.0000 0.8094 1
I1 0.0049 0.3768 0.2359 1
I2 0.0450 0.6803 0.0732 1
# Electronic total energy = -91.7 eV per cell
# ΔE_f (raw) = -933 meV per atom
# D(E_F) = 0.0 states/eV per cell

=====

[5]
# Cs2Cd2InI6 (GGA-PBE, optimized geometry)
data_Cs2Cd2InI6
_space_group_name_H-M_alt 'C 1 2/m 1'
_space_group_IT_number 12
_space_group_name_Hall '-C 2y'
_cell_length_a 15.094
_cell_length_b 8.984
_cell_length_c 9.859
_cell_angle_alpha 90.00
_cell_angle_beta 120.62
_cell_angle_gamma 90.00
loop_
_atom_site_label
_atom_site_fract_x
_atom_site_fract_y
_atom_site_fract_z
_atom_site_occupancy
Cs1 0.217 0.000 0.203 1
Cd1 0.031 0.500 0.162 1
In1 0.000 0.000 0.500 1
I1 0.062 0.238 0.798 1
I2 0.248 0.500 0.376 1
# Electronic total energy = -49.6 eV per cell
# ΔE_f (raw) = -837 meV per atom
# D(E_F) = 9.1 states/eV per cell

=====

[6]
# WSeCl2 (GGA-PBE, optimized geometry)
data_WSeCl2
_space_group_name_H-M_alt 'I 4/m m m'
_space_group_IT_number 139
_space_group_name_Hall '-I 4 2'
_cell_length_a 4.241
_cell_length_b 4.241
_cell_length_c 8.125
_cell_angle_alpha 90.00
_cell_angle_beta 90.00
_cell_angle_gamma 90.00
loop_
_atom_site_label
_atom_site_fract_x
_atom_site_fract_y
_atom_site_fract_z
_atom_site_occupancy
W1 0.000 0.000 0.000 1
Se1 0.000 0.000 0.500 1
Cl1 0.000 0.500 0.250 1
# Electronic total energy = -32.2 eV per cell
# ΔE_f (raw) = 1010 meV per atom
# Energy above the most stable polymorph in this dataset = 1.459 eV per atom
# D(E_F) = 6.7 states/eV per cell

=====

[7]
# BeCdPt3 (GGA-PBE, optimized geometry)
data_BeCdPt3
_space_group_name_H-M_alt 'A m m 2'
_space_group_IT_number 38
_space_group_name_Hall 'A 2 -2'
_cell_length_a 2.910
_cell_length_b 8.261
_cell_length_c 12.447
_cell_angle_alpha 90.00
_cell_angle_beta 90.00
_cell_angle_gamma 90.00
loop_
_atom_site_label
_atom_site_fract_x
_atom_site_fract_y
_atom_site_fract_z
_atom_site_occupancy
Be1 0.000 0.222 0.000 1
Cd1 0.000 0.000 0.207 1
Cd2 0.000 0.000 0.793 1
Pt1 0.000 0.000 0.500 1
Pt2 0.500 0.000 0.000 1
Pt3 0.500 0.203 0.641 1
Pt4 0.500 0.204 0.359 1
# E_form = -0.42 eV/atom
# Electronic total energy = -99.5 eV per cell
# Energy above the most stable polymorph in this dataset = 0.017 eV per atom
# D(E_F) = 8.1 states/eV per cell

=====

[8]
# KRb2Bi (GGA-PBE, optimized geometry)
data_KRb2Bi
_space_group_name_H-M_alt 'R -3 m'
_space_group_IT_number 166
_space_group_name_Hall '-R 3 2"'
_cell_length_a 4.1941
_cell_length_b 4.1941
_cell_length_c 46.7134
_cell_angle_alpha 90.00
_cell_angle_beta 90.00
_cell_angle_gamma 120.00
loop_
_atom_site_label
_atom_site_fract_x
_atom_site_fract_y
_atom_site_fract_z
_atom_site_occupancy
K1 0.0000 0.0000 0.0000 1
Rb1 0.0000 0.0000 0.4243 1
Bi1 0.0000 0.0000 0.5000 1
# E_form = 0.20 eV/atom
# Electronic total energy = -18.3 eV per cell
# D(E_F) = 9.8 states/eV per cell

=====

[9]
# Be2NbCu (GGA-PBE, optimized geometry)
data_Be2NbCu
_space_group_name_H-M_alt 'R -3 m'
_space_group_IT_number 166
_space_group_name_Hall '-R 3 2"'
_cell_length_a 3.6749
_cell_length_b 3.6749
_cell_length_c 12.0029
_cell_angle_alpha 90.00
_cell_angle_beta 90.00
_cell_angle_gamma 120.00
loop_
_atom_site_label
_atom_site_fract_x
_atom_site_fract_y
_atom_site_fract_z
_atom_site_occupancy
Be1 0.0000 0.0000 0.2130 1
Nb1 0.0000 0.0000 0.0000 1
Cu1 0.0000 0.0000 0.5000 1
# E_form = -0.03 eV/atom
# Electronic total energy = -65.2 eV per cell
# Energy above the most stable polymorph in this dataset = 0.065 eV per atom
# D(E_F) = 4.2 states/eV per cell

=====

[10]
# ZnHgTe2 (GGA-PBE, optimized geometry)
data_ZnHgTe2
_space_group_name_H-M_alt 'P n m a'
_space_group_IT_number 62
_space_group_name_Hall '-P 2ac 2n'
_cell_length_a 8.320
_cell_length_b 4.254
_cell_length_c 14.414
_cell_angle_alpha 90.00
_cell_angle_beta 90.00
_cell_angle_gamma 90.00
loop_
_atom_site_label
_atom_site_fract_x
_atom_site_fract_y
_atom_site_fract_z
_atom_site_occupancy
Zn1 0.068 0.250 0.060 1
Hg1 0.187 0.250 0.713 1
Te1 0.050 0.250 0.247 1
Te2 0.244 0.750 0.006 1
# Electronic total energy = -34.1 eV per cell
# ΔE_f (raw) = -165 meV per atom
# D(E_F) = 4.0 states/eV per cell

=====

[11]
# AcSnN (GGA-PBE, optimized geometry)
data_AcSnN
_space_group_name_H-M_alt 'P -1'
_space_group_IT_number 2
_space_group_name_Hall '-P 1'
_cell_length_a 4.303
_cell_length_b 4.304
_cell_length_c 9.282
_cell_angle_alpha 86.07
_cell_angle_beta 85.48
_cell_angle_gamma 89.57
loop_
_atom_site_label
_atom_site_fract_x
_atom_site_fract_y
_atom_site_fract_z
_atom_site_occupancy
Ac1 0.228 0.231 0.130 1
Sn1 0.258 0.257 0.550 1
N1 0.250 0.750 0.000 1
# Electronic total energy = -36.3 eV per cell
# ΔE_f (raw) = -566 meV per atom
# Energy above the most stable polymorph in this dataset = 0.000 eV per atom
# D(E_F) = 4.9 states/eV per cell

=====

[12]
# Li3Pr2Cd4 (GGA-PBE, optimized geometry)
data_Li3Pr2Cd4
_space_group_name_H-M_alt 'C m c e'
_space_group_IT_number 64
_space_group_name_Hall '-C 2ac 2'
_cell_length_a 6.210
_cell_length_b 16.288
_cell_length_c 8.439
_cell_angle_alpha 90.00
_cell_angle_beta 90.00
_cell_angle_gamma 90.00
loop_
_atom_site_label
_atom_site_fract_x
_atom_site_fract_y
_atom_site_fract_z
_atom_site_occupancy
Li1 0.000 0.000 0.000 1
Li2 0.250 0.222 0.250 1
Pr1 0.000 0.115 0.585 1
Cd1 0.000 0.180 0.975 1
Cd2 0.250 0.052 0.250 1
# E_form = -0.23 eV/atom
# Electronic total energy = -84.0 eV per cell
# Energy above the most stable polymorph in this dataset = 0.014 eV per atom
# D(E_F) = 25.3 states/eV per cell